{"formula": "GeBiTe2", "functional": "PBE", "state": "optimized geometry", "cell": [[0.0000, 3.8141, 3.8141], [3.8141, 0.0000, 3.8141], [3.8141, 3.8141, 0.0000]], "species": ["Ge", "Bi", "Te", "Te"], "frac_coords": [[0.0000, 0.0000, 0.0000], [0.5000, 0.5000, 0.5000], [0.2500, 0.2500, 0.2500], [0.7500, 0.7500, 0.7500]], "dos_ef_per_ev_cell": 1.63, "mass_density_g_cm3": 8.0, "raw_formation_energy_ev_per_atom": 0.14}